Arrangement i

A relaxed structure of CoSi5, computed with PBE-GGA.

## Properties
M_tot, μB/cell: 0.00
V, A^3/atom: 13.2

abc: 2.7192 2.7192 10.7463
angles: 90.00 90.00 90.00
Last column: nearest neighbours and their distance in Å.
Positions (direct):
1 Co 0.0000 0.0000 0.0000  8 Si 2.42
2 Si 0.0000 0.0000 0.3204  12 Si 2.72-2.76
3 Si 0.0000 0.0000 0.6796  12 Si 2.72-2.76
4 Si 0.5000 0.5000 0.1367  4 Co 2.42
5 Si 0.5000 0.5000 0.5000  12 Si 2.72
6 Si 0.5000 0.5000 0.8633  4 Co 2.42

---

Arrangement ii

A relaxed structure of CoSi5, computed with PBE-GGA.

## Properties
M_tot, μB/cell: 0.00
V, A^3/atom: 13.7

abc: 4.4787 5.9980 5.9980
angles: 30.61 90.00 90.00
Last column: nearest neighbours and their distance in Å.
Positions (direct):
1 Co 0.0000 0.0000 0.0000  6 Si 2.35-2.45
2 Si 0.0000 0.3496 0.3496  2 Co 2.35, 2 Si 2.53
3 Si 0.0000 0.6621 0.6621  2 Co 2.45, 4 Si 2.47-2.69
4 Si 0.5000 0.2483 0.2483  6 Si 2.48-2.58
5 Si 0.5000 0.5718 0.5718  6 Si 2.42-2.58
6 Si 0.5000 0.9137 0.9137  4 Si 2.42-2.48, 2 Co 2.45

---

Relative energies, meV/atom: arrangement i 0; arrangement ii 11.

---

Arrangement i

A relaxed structure of Co3Si2, computed with PBE-GGA.

## Properties
M_tot, μB/cell: 3.54
V, A^3/atom: 11.8

abc: 5.8905 5.8905 5.8905
angles: 120.44 76.41 136.74
Last column: nearest neighbours and their distance in Å.
Positions (direct):
1 Co 0.0921 0.6460 0.7382  5 Si 2.29-2.50, 3 Co 2.41-2.49
2 Co 0.2500 0.2500 0.0000  2 Co 2.17
3 Co 0.4079 0.1460 0.5539  5 Si 2.29-2.50, 3 Co 2.41-2.49
4 Co 0.5921 0.8540 0.4461  5 Si 2.29-2.50, 3 Co 2.41-2.49
5 Co 0.7500 0.7500 0.0000  2 Co 2.17
6 Co 0.9079 0.3540 0.2618  5 Si 2.29-2.50, 3 Co 2.41-2.49
7 Si 0.1711 0.2612 0.4322  7 Co 2.29-2.50
8 Si 0.3289 0.7612 0.0901  7 Co 2.29-2.50
9 Si 0.6711 0.2388 0.9099  7 Co 2.29-2.50
10 Si 0.8289 0.7388 0.5678  7 Co 2.29-2.50

---

Arrangement ii

A relaxed structure of Co3Si2, computed with PBE-GGA.

## Properties
M_tot, μB/cell: 0.00
V, A^3/atom: 11.6

abc: 3.7720 3.7720 4.7152
angles: 90.00 90.00 120.00
Last column: nearest neighbours and their distance in Å.
Positions (direct):
1 Co 0.0000 0.0000 0.0000  6 Si 2.35
2 Co 0.3333 0.6667 0.3294  5 Si 2.28-2.44
3 Co 0.6667 0.3333 0.6706  5 Si 2.28-2.44
4 Si 0.3333 0.6667 0.8119  8 Co 2.28-2.44
5 Si 0.6667 0.3333 0.1881  8 Co 2.28-2.44

---

Arrangement iii

A relaxed structure of Co3Si2, computed with PBE-GGA.

## Properties
M_tot, μB/cell: 1.30
V, A^3/atom: 11.0

abc: 9.4235 9.4235 9.4235
angles: 15.94 15.94 15.94
Last column: nearest neighbours and their distance in Å.
Positions (direct):
1 Co 0.0000 0.0000 0.0000  6 Si 2.37, 6 Co 2.61
2 Co 0.2026 0.2026 0.2026  3 Si 2.36, 9 Co 2.51-2.61
3 Co 0.7974 0.7974 0.7974  3 Si 2.36, 9 Co 2.51-2.61
4 Si 0.3989 0.3989 0.3989  6 Co 2.36-2.37, 6 Si 2.61
5 Si 0.6011 0.6011 0.6011  6 Co 2.36-2.37, 6 Si 2.61

---

Relative energies, meV/atom: arrangement i 164; arrangement ii 0; arrangement iii 185.

---

Arrangement i

A relaxed structure of Co5Si4, computed with PBE-GGA.

## Properties
M_tot, μB/cell: 2.58
V, A^3/atom: 11.0

abc: 6.8130 6.8130 4.9230
angles: 90.00 90.00 120.00
Last column: nearest neighbours and their distance in Å.
Positions (direct):
1 Co 0.0000 0.2893 0.2500  5 Si 2.25-2.35
2 Co 0.0000 0.7107 0.7500  5 Si 2.25-2.35
3 Co 0.2893 0.0000 0.2500  5 Si 2.25-2.35
4 Co 0.2893 0.2893 0.7500  5 Si 2.25-2.35
5 Co 0.3333 0.6667 0.0000  6 Si 2.46, 8 Co 2.46-2.73
6 Co 0.3333 0.6667 0.5000  6 Si 2.46, 8 Co 2.46-2.73
7 Co 0.6667 0.3333 0.0000  6 Si 2.46, 8 Co 2.46-2.73
8 Co 0.6667 0.3333 0.5000  6 Si 2.46, 8 Co 2.46-2.73
9 Co 0.7107 0.0000 0.7500  5 Si 2.25-2.35
10 Co 0.7107 0.7107 0.2500  5 Si 2.25-2.35
11 Si 0.0000 0.0000 0.0000  6 Co 2.32, 2 Si 2.46
12 Si 0.0000 0.0000 0.5000  6 Co 2.32, 2 Si 2.46
13 Si 0.0000 0.3809 0.7500  7 Co 2.25-2.46
14 Si 0.0000 0.6191 0.2500  7 Co 2.25-2.46
15 Si 0.3809 0.0000 0.7500  7 Co 2.25-2.46
16 Si 0.3809 0.3809 0.2500  7 Co 2.25-2.46
17 Si 0.6191 0.0000 0.2500  7 Co 2.25-2.46
18 Si 0.6191 0.6191 0.7500  7 Co 2.25-2.46

---

Arrangement ii

A relaxed structure of Co5Si4, computed with PBE-GGA.

## Properties
M_tot, μB/cell: 0.00
V, A^3/atom: 11.1

abc: 5.5740 5.5740 5.5740
angles: 95.92 95.92 142.55
Last column: nearest neighbours and their distance in Å.
Positions (direct):
1 Co 0.0000 0.0000 0.0000  4 Si 2.28, 8 Co 2.54
2 Co 0.3297 0.3297 0.6594  6 Si 2.42-2.47, 6 Co 2.46-2.54
3 Co 0.3297 0.6703 0.0000  6 Si 2.42-2.47, 6 Co 2.46-2.54
4 Co 0.6703 0.3297 0.0000  6 Si 2.42-2.47, 6 Co 2.46-2.54
5 Co 0.6703 0.6703 0.3406  6 Si 2.42-2.47, 6 Co 2.46-2.54
6 Si 0.0000 0.3057 0.3057  7 Co 2.28-2.47
7 Si 0.0000 0.6943 0.6943  7 Co 2.28-2.47
8 Si 0.3057 0.0000 0.3057  7 Co 2.28-2.47
9 Si 0.6943 0.0000 0.6943  7 Co 2.28-2.47

---

Relative energies, meV/atom: arrangement i 0; arrangement ii 105.

---

Arrangement i

A relaxed structure of Sm3Co2Si4, computed with PBE-GGA.

## Properties
M_tot, μB/cell: 0.00
V, A^3/atom: 19.3

abc: 5.8439 5.8439 8.1531
angles: 98.89 98.89 39.33
Last column: nearest neighbours and their distance in Å.
Positions (direct):
1 Sm 0.0000 0.0000 0.0000  8 Si 3.06-3.23, 4 Co 3.07
2 Sm 0.3343 0.3343 0.3407  8 Si 3.08-3.29, 4 Co 3.09-3.16
3 Sm 0.6657 0.6657 0.6593  8 Si 3.08-3.29, 4 Co 3.09-3.16
4 Co 0.3933 0.3933 0.7244  3 Si 2.25
5 Co 0.6067 0.6067 0.2756  3 Si 2.25
6 Si 0.0555 0.0555 0.3801  2 Co 2.25, 1 Si 2.47
7 Si 0.2805 0.2805 0.9315  1 Co 2.25, 2 Si 2.41
8 Si 0.7195 0.7195 0.0685  1 Co 2.25, 2 Si 2.41
9 Si 0.9445 0.9445 0.6199  2 Co 2.25, 1 Si 2.47

---

Arrangement ii

A relaxed structure of Sm3Co2Si4, computed with PBE-GGA.

## Properties
M_tot, μB/cell: 0.00
V, A^3/atom: 18.7

abc: 5.8391 5.8391 7.9709
angles: 106.65 106.65 40.48
Last column: nearest neighbours and their distance in Å.
Positions (direct):
1 Sm 0.0000 0.0000 0.0000  8 Si 3.05-3.32
2 Sm 0.3892 0.3892 0.3106  8 Si 2.97-3.29, 4 Co 3.01-3.27, 1 Sm 3.25
3 Sm 0.6108 0.6108 0.6894  8 Si 2.97-3.29, 4 Co 3.01-3.27, 1 Sm 3.25
4 Co 0.3027 0.3027 0.6344  4 Si 2.26-2.37
5 Co 0.6973 0.6973 0.3656  4 Si 2.26-2.37
6 Si 0.1149 0.1149 0.3996  3 Co 2.26-2.32
7 Si 0.2798 0.2798 0.9201  1 Co 2.37, 2 Si 2.58
8 Si 0.7202 0.7202 0.0799  1 Co 2.37, 2 Si 2.58
9 Si 0.8851 0.8851 0.6004  3 Co 2.26-2.32

---

Relative energies, meV/atom: arrangement i 31; arrangement ii 0.